# NaW2CBr PBEsol relaxed
data_NaW2CBr
_symmetry_space_group_name_H-M 'P 4/m m m'
_symmetry_Int_Tables_number 123
_symmetry_space_group_name_Hall '-P 4 2'
_cell_length_a 4.851
_cell_length_b 4.851
_cell_length_c 4.524
_cell_angle_alpha 90.00
_cell_angle_beta 90.00
_cell_angle_gamma 90.00
loop_
_atom_site_label
_atom_site_fract_x
_atom_site_fract_y
_atom_site_fract_z
_atom_site_occupancy
Na1 0.000 0.000 0.000 1
W1 0.000 0.500 0.000 1
C1 0.500 0.500 0.500 1
Br1 0.000 0.000 0.500 1
# formation energy (no corrections) = 399 kJ/mol of atoms
# N(E_F) = 1.4919 states/eV per atom



# RbNa2BeZn PBEsol relaxed
data_RbNa2BeZn
_symmetry_space_group_name_H-M 'P 4/m m m'
_symmetry_Int_Tables_number 123
_symmetry_space_group_name_Hall '-P 4 2'
_cell_length_a 5.610
_cell_length_b 5.610
_cell_length_c 4.527
_cell_angle_alpha 90.00
_cell_angle_beta 90.00
_cell_angle_gamma 90.00
loop_
_atom_site_label
_atom_site_fract_x
_atom_site_fract_y
_atom_site_fract_z
_atom_site_occupancy
Rb1 0.000 0.000 0.000 1
Na1 0.000 0.500 0.500 1
Be1 0.500 0.500 0.500 1
Zn1 0.500 0.500 0.000 1
# N(E_F) = 0.5593 states/eV per atom
# energy of formation from the pure elements = 353.1 meV/atom



# Li2YFe2 PBEsol relaxed
data_Li2YFe2
_symmetry_space_group_name_H-M 'I 4/m m m'
_symmetry_Int_Tables_number 139
_symmetry_space_group_name_Hall '-I 4 2'
_cell_length_a 3.985
_cell_length_b 3.985
_cell_length_c 9.677
_cell_angle_alpha 90.00
_cell_angle_beta 90.00
_cell_angle_gamma 90.00
loop_
_atom_site_label
_atom_site_fract_x
_atom_site_fract_y
_atom_site_fract_z
_atom_site_occupancy
Li1 0.000 0.000 0.117 1
Y1 0.000 0.000 0.500 1
Fe1 0.000 0.500 0.250 1
# N(E_F) = 0.9336 states/eV per atom
# energy of formation from the pure elements = 485.9 meV/atom



# K2MnBe PBEsol relaxed
data_K2MnBe
_symmetry_space_group_name_H-M 'C 1 m 1'
_symmetry_Int_Tables_number 8
_cell_length_a 7.019
_cell_length_b 4.044
_cell_length_c 9.541
_cell_angle_alpha 90.00
_cell_angle_beta 102.62
_cell_angle_gamma 90.00
loop_
_symmetry_equiv_pos_as_xyz
'x,y,z'
'x,-y,z'
'x+1/2,y+1/2,z'
'x+1/2,-y+1/2,z'
loop_
_atom_site_label
_atom_site_fract_x
_atom_site_fract_y
_atom_site_fract_z
_atom_site_occupancy
K1 0.000 0.000 0.000 1
K2 0.161 0.000 0.542 1
Mn1 0.247 0.500 0.271 1
Be1 0.414 0.000 0.271 1
# N(E_F) = 0.6036 states/eV per atom
# energy of formation from the pure elements = 809.3 meV/atom